No. 1
The following is a GGA-PBEsol calculation of KAg2Ir after structural relaxation, from Alexandria.

abc: 2.682 4.924 6.649
angles: 94.81 90.00 105.80
Atoms (fractional coordinates):
K 0.752 0.503 0.259
Ag 0.249 0.499 0.729
Ag 0.988 0.976 0.933
Ir 0.511 0.022 0.579

Calculated values
The formation energy comes out at 2.28 eV per formula unit. The calculation puts the energy above the most stable polymorph in this dataset at 3.54 kJ per mole of atoms. The crystal system is monoclinic.

***

No. 2
The following is a GGA-PBEsol calculation of ReRhCl2 after structural relaxation, from Alexandria.

abc: 2.890 4.615 5.901
angles: 97.25 104.17 90.00
Atoms (fractional coordinates):
Cl 0.652 0.716 0.304
Cl 0.348 0.284 0.696
Rh 0.500 0.000 0.000
Re 0.000 0.500 0.000

Calculated values
For the raw total energy, the calculation gives -24.24 eV per cell. The crystal system is monoclinic.

***

No. 3
The following is a GGA-PBEsol calculation of LaGe2I after structural relaxation, from Alexandria.

abc: 5.244 5.244 5.244
angles: 60.00 60.00 60.00
Atoms (fractional coordinates):
La 0.500 0.500 0.500
I 0.000 0.000 0.000
Ge 0.750 0.750 0.750
Ge 0.250 0.250 0.250

Calculated values
For the raw total energy, the calculation gives -16.94 eV per cell. The crystal system is cubic.

***

No. 4
The following is a GGA-PBEsol calculation of KBeNi2Au after structural relaxation, from Alexandria.

abc: 4.083 4.083 4.913
angles: 90.00 90.00 90.00
Atoms (fractional coordinates):
Ni 0.500 0.000 0.000
Ni 0.000 0.500 0.000
Be 0.000 0.000 0.000
Au 0.500 0.500 0.500
K 0.000 0.000 0.500

Calculated values
The formation energy comes out at 4.18 eV per formula unit. The crystal system is tetragonal.

***

No. 5
The following is a GGA-PBEsol calculation of Ba2PdRhBr after structural relaxation, from Alexandria.

abc: 4.657 6.055 6.055
angles: 90.00 90.00 90.00
Atoms (fractional coordinates):
Br 0.500 0.500 0.500
Pd 0.000 0.000 0.000
Ba 0.000 0.500 0.000
Ba 0.000 0.000 0.500
Rh 0.500 0.000 0.000

Calculated values
For the raw total energy, the calculation gives -22.05 eV per cell. The crystal system is tetragonal.

***

No. 6
The following is a GGA-PBEsol calculation of Ba2SbAs after structural relaxation, from Alexandria.

abc: 4.809 4.809 6.803
angles: 90.00 90.00 90.00
Atoms (fractional coordinates):
Sb 0.000 0.000 0.000
As 0.500 0.500 0.500
Ba 0.500 0.500 0.000
Ba 0.000 0.000 0.500

Calculated values
The calculation puts the energy above the most stable polymorph in this dataset at 28.01 kJ per mole of atoms. The crystal system is tetragonal.

***

| no. | DOS(E_F) (states/eV/cell) |
| --- | --- |
| 1 | 2.4 |
| 2 | 3.1 |
| 3 | 3.6 |
| 4 | 1.2 |
| 5 | 2.4 |
| 6 | 6.1 |